1.
The following is a DFT calculation (PBE) of a relaxed structure of RbSb2H2.

Computed properties:
The crystal system is triclinic. The energy above the most stable polymorph in this dataset comes out at 0.078 eV/atom. Its symmetry is P-1.

a = 4.583 Å, b = 5.129 Å, c = 6.390 Å
α = 105.09°, β = 91.16°, γ = 90.81°
Sites, in units of the cell vectors:
Rb (0.000, 0.000, 0.000)
Sb (0.500, 0.365, 0.660)
Sb (0.500, 0.635, 0.340)
H (0.488, 0.675, 0.858)
H (0.512, 0.325, 0.142)



2.
The following is a DFT calculation (PBE) of a relaxed structure of Y5BiPd2.

Computed properties:
The crystal system is tetragonal. Its formation energy is -0.704 eV/atom. Its symmetry is I4/mcm.

a = 8.860 Å, b = 8.860 Å, c = 8.860 Å
α = 127.45°, β = 127.45°, γ = 77.52°
Sites, in units of the cell vectors:
Y (0.000, 0.000, 0.000)
Y (0.014, 0.514, 0.810)
Y (0.204, 0.014, 0.500)
Y (0.296, 0.796, 0.810)
Y (0.486, 0.296, 0.500)
Y (0.500, 0.500, 0.000)
Y (0.514, 0.704, 0.500)
Y (0.704, 0.204, 0.190)
Y (0.796, 0.986, 0.500)
Y (0.986, 0.486, 0.190)
Bi (0.250, 0.250, 0.000)
Bi (0.750, 0.750, 0.000)
Pd (0.137, 0.363, 0.500)
Pd (0.363, 0.863, 0.227)
Pd (0.637, 0.137, 0.773)
Pd (0.863, 0.637, 0.500)



3.
The following is a DFT calculation (PBE) of a relaxed structure of Er5ThTl6.

Computed properties:
The crystal system is monoclinic. Its formation energy is -0.190 eV/atom. The energy above the most stable polymorph in this dataset comes out at 0.078 eV/atom. Its symmetry is C2/m.

a = 7.426 Å, b = 7.426 Å, c = 6.514 Å
α = 98.03°, β = 98.03°, γ = 96.31°
Sites, in units of the cell vectors:
Er (0.000, 0.000, 0.000)
Er (0.167, 0.833, 0.500)
Er (0.336, 0.664, 0.000)
Er (0.664, 0.336, 0.000)
Er (0.833, 0.167, 0.500)
Th (0.500, 0.500, 0.500)
Tl (0.073, 0.416, 0.243)
Tl (0.244, 0.244, 0.754)
Tl (0.416, 0.073, 0.243)
Tl (0.584, 0.927, 0.757)
Tl (0.756, 0.756, 0.246)
Tl (0.927, 0.584, 0.757)



> Which formula does entry 2 have?

Y5BiPd2